--- i ---
Entry from the Alexandria database: an optimized crystal structure of TlGa2HgIr (PBE-GGA).

```
TlGa2HgIr
1.0
4.8625 0.0000 0.0000
0.0000 4.8625 0.0000
0.0000 0.0000 5.3565
Tl Ga Hg Ir
1 2 1 1
Direct
0.0000 0.0000 0.0000
0.0000 0.5000 0.5000
0.5000 0.0000 0.5000
0.5000 0.5000 0.0000
0.0000 0.0000 0.5000
```


--- ii ---
Entry from the Alexandria database: an optimized crystal structure of TlGa2HgIr (PBE-GGA).

```
TlGa2HgIr
1.0
4.8187 0.0000 0.0000
0.0000 4.8187 0.0000
0.0000 0.0000 5.4052
Tl Ga Hg Ir
1 2 1 1
Direct
0.0000 0.0000 0.0000
0.0000 0.5000 0.5000
0.5000 0.0000 0.5000
0.5000 0.5000 0.0000
0.5000 0.5000 0.5000
```


On energetic grounds, i is preferred over the next structure by 0.029 eV/atom.


--- i ---
Entry from the Alexandria database: an optimized crystal structure of CaSb2RuI (PBE-GGA).

```
CaSb2RuI
1.0
5.8093 0.0000 0.0000
0.0000 5.8093 0.0000
0.0000 0.0000 5.7226
Ca Sb Ru I
1 2 1 1
Direct
0.0000 0.0000 0.0000
0.0000 0.5000 0.0000
0.5000 0.0000 0.0000
0.5000 0.5000 0.5000
0.0000 0.0000 0.5000
```


--- ii ---
Entry from the Alexandria database: an optimized crystal structure of CaSb2RuI (PBE-GGA).

```
CaSb2RuI
1.0
5.0920 0.0000 0.0000
0.0000 5.0920 0.0000
0.0000 0.0000 5.8742
Ca Sb Ru I
1 2 1 1
Direct
0.0000 0.0000 0.0000
0.0000 0.5000 0.5000
0.5000 0.0000 0.5000
0.5000 0.5000 0.5000
0.5000 0.5000 0.0000
```


On energetic grounds, ii is preferred over the next structure by 1.211 eV/atom.


--- i ---
Entry from the Alexandria database: an optimized crystal structure of Ni2MoRh (PBE-GGA).

```
Ni2MoRh
1.0
-1.8454 1.8454 3.7828
1.8454 -1.8454 3.7828
1.8454 1.8454 -3.7828
Ni Mo Rh
2 1 1
Direct
0.0000 0.0000 0.0000
0.7500 0.2500 0.5000
0.2500 0.7500 0.5000
0.5000 0.5000 0.0000
```


--- ii ---
Entry from the Alexandria database: an optimized crystal structure of Ni2MoRh (PBE-GGA).

```
Ni2MoRh
1.0
-1.8475 1.8475 3.7757
1.8475 -1.8475 3.7757
1.8475 1.8475 -3.7757
Ni Mo Rh
2 1 1
Direct
0.2500 0.7500 0.5000
0.7500 0.2500 0.5000
0.0000 0.0000 0.0000
0.5000 0.5000 0.0000
```


On energetic grounds, i is preferred over the next structure by 0.043 eV/atom.